(1)
Density functional theory data (PBE) for a relaxed Dy3Hg2Rh2 crystal.

Summary:
Energy, eV per atom: -4.77
Formation energy, eV/atom: -0.611

Cell lengths 3.8513, 22.3876, 3.7487 Å; angles 90.00, 90.00, 90.00 degrees
Last column: nearest neighbours and their distance in Å.
Space group Cmmm (No. 65)
Asymmetric unit:
Dy 0.0000 0.0000 0.0000 x2  8 Hg 3.25
Dy 0.0000 0.1739 0.0000 x4  4 Rh 2.80
Hg 0.0000 0.4183 0.5000 x4  1 Rh 2.85
Rh 0.0000 0.2910 0.5000 x4  2 Rh 2.66, 4 Dy 2.80, 1 Hg 2.85

=====

(2)
Density functional theory data (PBE) for a relaxed NaCa6Bi5 crystal.

Summary:
Energy, eV per atom: -3.41
Formation energy, eV/atom: -0.686

Cell lengths 5.6161, 7.5611, 17.9166 Å; angles 90.00, 90.00, 90.00 degrees
Last column: nearest neighbours and their distance in Å.
Space group Immm (No. 71)
Asymmetric unit:
Na 0.0000 0.0000 0.0000 x2  8 Ca 3.51-3.69, 6 Bi 3.78-3.81
Ca 0.0000 0.2205 0.5000 x4  6 Bi 3.27-3.53, 1 Ca 3.33, 2 Na 3.51
Ca 0.0000 0.2625 0.1737 x8  6 Bi 3.33-3.59, 1 Ca 3.59, 1 Na 3.69
Bi 0.0000 0.0000 0.3263 x4  8 Ca 3.33-3.53
Bi 0.0000 0.5000 0.0000 x2  8 Ca 3.27-3.59
Bi 0.0000 0.5000 0.3565 x4  6 Ca 3.33-3.48

=====

(3)
Density functional theory data (PBE) for a relaxed NaCrRe crystal.

Summary:
Energy, eV per atom: -7.17
Formation energy, eV/atom: 0.627
Relative energy among the computed polymorphs, meV per atom: 0

Cell lengths 4.4660, 2.9622, 7.7763 Å; angles 90.00, 106.44, 90.00 degrees
Last column: nearest neighbours and their distance in Å.
Space group Cm (No. 8)
Asymmetric unit:
Na 0.0000 0.0000 0.0000 x2  6 Na 2.68-2.96
Cr 0.3204 0.0000 0.6328 x2  2 Re 2.43, 4 Cr 2.68
Re 0.1931 0.5000 0.3742 x2  2 Cr 2.43, 4 Re 2.68

=====

(4)
Density functional theory data (PBE) for a relaxed Ho3PdPb crystal.

Summary:
Energy, eV per atom: -5.09
Formation energy, eV/atom: -0.560

Cell lengths 22.9529, 4.6363, 4.9167 Å; angles 90.00, 90.02, 90.00 degrees
Last column: nearest neighbours and their distance in Å.
Space group C2/m (No. 12)
Asymmetric unit:
Ho 0.0526 0.0000 0.2500 x4  6 Pb 3.40-3.60, 6 Ho 3.45-3.67
Ho 0.1715 0.0000 0.7499 x4  4 Pd 2.96-3.03
Ho 0.1740 0.5000 0.2505 x4  4 Pd 2.88-3.04
Pd 0.2483 0.0000 0.2482 x4  8 Ho 2.88-3.04
Pb 0.0672 0.5000 0.7500 x4  10 Ho 3.33-3.60

=====

(5)
Density functional theory data (PBE) for a relaxed Be2Re2Si crystal.

Summary:
Energy, eV per atom: -7.85
ΔE_f (raw), eV/atom: -0.2973

Cell lengths 5.8546, 5.8546, 3.2071 Å; angles 90.00, 90.00, 90.00 degrees
Last column: nearest neighbours and their distance in Å.
Space group P4/mbm (No. 127)
Asymmetric unit:
Be 0.1198 0.3802 0.0000 x4  1 Be 1.98
Re 0.1785 0.6785 0.5000 x4  6 Be 2.31-2.40
Si 0.0000 0.0000 0.0000 x2  4 Be 2.33

=====

What are the calculated volume values for these records? In order: 23.087 31.700 16.444 26.161 10.993 Å³/atom.